A relaxed structure of Er2PuSi6. Source: Alexandria via LeMat-Bulk, functional PBE-GGA.

Cell lengths 7.020, 7.020, 3.883 Å; angles 90.00, 90.00, 120.00 degrees
Positions (direct):
Er (0.333, 0.667, 0.000)
Er (0.667, 0.333, 0.000)
Pu (0.000, 0.000, 0.000)
Si (0.000, 0.334, 0.500)
Si (0.000, 0.666, 0.500)
Si (0.334, 0.000, 0.500)
Si (0.334, 0.334, 0.500)
Si (0.666, 0.000, 0.500)
Si (0.666, 0.666, 0.500)

## Properties
Raw formation energy in meV per atom: -521
Crystal system: hexagonal
Space-group type: P6/mmm
Volume in Å³/cell: 166



A relaxed structure of ErPu2Si. Source: Alexandria via LeMat-Bulk, functional PBE-GGA.

Cell lengths 10.328, 10.328, 10.328 Å; angles 19.15, 19.15, 19.15 degrees
Positions (direct):
Er (0.000, 0.000, 0.000)
Pu (0.236, 0.236, 0.236)
Pu (0.764, 0.764, 0.764)
Si (0.500, 0.500, 0.500)

## Properties
Offset from the most stable computed form in eV/f.u.: 1.27
Raw formation energy in meV per atom: 82
Crystal system: trigonal
Space-group type: R-3m
Volume in Å³/cell: 104



A relaxed structure of ErPuSi4. Source: Alexandria via LeMat-Bulk, functional PBE-GGA.

Cell lengths 5.271, 5.271, 5.271 Å; angles 60.00, 60.00, 60.00 degrees
Positions (direct):
Er (0.000, 0.000, 0.000)
Pu (0.250, 0.250, 0.250)
Si (0.125, 0.625, 0.625)
Si (0.625, 0.125, 0.625)
Si (0.625, 0.625, 0.125)
Si (0.625, 0.625, 0.625)

## Properties
Offset from the most stable computed form in eV/f.u.: 0.00
Raw formation energy in meV per atom: -357
Crystal system: cubic
Space-group type: F-43m
Volume in Å³/cell: 104



A relaxed structure of ErPuSi4. Source: Alexandria via LeMat-Bulk, functional PBE-GGA.

Cell lengths 8.244, 14.446, 4.009 Å; angles 90.00, 90.00, 90.00 degrees
Positions (direct):
Er (0.138, 0.085, 0.000)
Er (0.362, 0.585, 0.000)
Er (0.638, 0.415, 0.000)
Er (0.862, 0.915, 0.000)
Pu (0.107, 0.363, 0.000)
Pu (0.393, 0.863, 0.000)
Pu (0.607, 0.137, 0.000)
Pu (0.893, 0.637, 0.000)
Si (0.040, 0.211, 0.500)
Si (0.129, 0.529, 0.500)
Si (0.131, 0.929, 0.500)
Si (0.179, 0.690, 0.500)
Si (0.321, 0.190, 0.500)
Si (0.369, 0.429, 0.500)
Si (0.371, 0.029, 0.500)
Si (0.460, 0.711, 0.500)
Si (0.540, 0.289, 0.500)
Si (0.629, 0.971, 0.500)
Si (0.631, 0.571, 0.500)
Si (0.679, 0.810, 0.500)
Si (0.821, 0.310, 0.500)
Si (0.869, 0.071, 0.500)
Si (0.871, 0.471, 0.500)
Si (0.960, 0.789, 0.500)

## Properties
Offset from the most stable computed form in eV/f.u.: 0.14
Raw formation energy in meV per atom: -333
Crystal system: orthorhombic
Space-group type: Pbam
Volume in Å³/cell: 478



A relaxed structure of ErPu2Si6. Source: Alexandria via LeMat-Bulk, functional PBE-GGA.

Cell lengths 7.027, 7.027, 3.870 Å; angles 90.00, 90.00, 120.00 degrees
Positions (direct):
Er (0.000, 0.000, 0.000)
Pu (0.333, 0.667, 0.000)
Pu (0.667, 0.333, 0.000)
Si (0.000, 0.333, 0.500)
Si (0.000, 0.667, 0.500)
Si (0.333, 0.000, 0.500)
Si (0.333, 0.333, 0.500)
Si (0.667, 0.000, 0.500)
Si (0.667, 0.667, 0.500)

## Properties
Raw formation energy in meV per atom: -495
Crystal system: hexagonal
Space-group type: P6/mmm
Volume in Å³/cell: 166



A relaxed structure of ErPu2Si. Source: Alexandria via LeMat-Bulk, functional PBE-GGA.

Cell lengths 4.334, 4.334, 4.839 Å; angles 90.00, 90.00, 90.00 degrees
Positions (direct):
Er (0.000, 0.000, 0.000)
Pu (0.000, 0.500, 0.500)
Pu (0.500, 0.000, 0.500)
Si (0.500, 0.500, 0.000)

## Properties
Offset from the most stable computed form in eV/f.u.: 0.00
Raw formation energy in meV per atom: -234
Crystal system: tetragonal
Space-group type: P4/mmm
Volume in Å³/cell: 91



Number 1: E -60.68 eV per cell. Number 2: E -38.32 eV per cell. Number 3: E -42.73 eV per cell. Number 4: E -170.35 eV per cell. Number 5: E -70.22 eV per cell. Number 6: E -39.59 eV per cell.